Below is a geometry-optimized LiSmTl4 structure, with properties calculated at the PBE-GGA level.

abc: 4.6849 4.6849 7.9311
angles: 90.00 90.00 90.00
Element x y z (fractional)
1 Li 0.0000 0.0000 0.0000
2 Sm 0.5000 0.5000 0.5000
3 Tl 0.0000 0.5000 0.2109
4 Tl 0.0000 0.5000 0.7891
5 Tl 0.5000 0.0000 0.2109
6 Tl 0.5000 0.0000 0.7891

## Properties
Uncorrected energy (eV/cell): -16.20



Below is a geometry-optimized LiSm4Tl2 structure, with properties calculated at the PBE-GGA level.

abc: 7.1876 6.6738 9.0818
angles: 90.00 107.97 90.00
Element x y z (fractional)
1 Li 0.0377 0.2500 0.2619
2 Li 0.9623 0.7500 0.7381
3 Sm 0.1767 0.7500 0.1379
4 Sm 0.3247 0.0076 0.7823
5 Sm 0.3247 0.4924 0.7823
6 Sm 0.4467 0.2500 0.4662
7 Sm 0.5533 0.7500 0.5338
8 Sm 0.6753 0.5076 0.2177
9 Sm 0.6753 0.9924 0.2177
10 Sm 0.8233 0.2500 0.8621
11 Tl 0.0673 0.7500 0.4604
12 Tl 0.2727 0.2500 0.0807
13 Tl 0.7273 0.7500 0.9193
14 Tl 0.9327 0.2500 0.5396

## Properties
Relative energy among the computed polymorphs (meV per atom): 47